Entry 1:
This record from Alexandria describes a geometry-optimized Mg2B2O5 structure. The functional is PBE-GGA.

abc: 4.9707 3.1088 6.5349
angles: 90.72 113.01 92.21
Sites, in units of the cell vectors:
B 0.9895 0.1749 0.8020
Mg 0.5654 0.2635 0.3119
O 0.7221 0.2830 0.6452
O 0.7691 0.7677 0.2457
O 0.2873 0.7508 0.3379
O 0.2554 0.2415 0.7906
O 0.9476 0.9467 0.9747
B 0.0056 0.8171 0.1932
Mg 0.4581 0.7547 0.6988

Values from the calculation:
As for the relative energy among the computed polymorphs: 64.0 meV per atom. As for the uncorrected formation energy: -2.571 eV per atom.

=====

Entry 2:
This record from Alexandria describes a geometry-optimized ScCrIn2S6 structure. The functional is PBE-GGA.

abc: 6.4510 6.4511 6.8698
angles: 62.00 62.00 60.00
Sites, in units of the cell vectors:
Sc 0.3191 0.3191 0.0428
S 0.4509 0.7095 0.7572
Cr 0.8224 0.8224 0.5328
S 0.6070 0.1944 0.2701
In 0.5206 0.5206 0.4382
S 0.0823 0.4509 0.7573
S 0.9285 0.6070 0.2701
S 0.1944 0.9285 0.2701
In 0.0269 0.0269 0.9193
S 0.7095 0.0823 0.7573

Values from the calculation:
As for the uncorrected formation energy: -0.867 eV per atom.

=====

Entry 3:
This record from Alexandria describes a geometry-optimized GaB2Pt2 structure. The functional is PBE-GGA.

abc: 3.2389 3.2389 6.4350
angles: 75.42 75.42 90.00
Sites, in units of the cell vectors:
Ga 0.0000 0.0000 0.0000
B 0.7500 0.2500 0.5000
Pt 0.3688 0.3688 0.2624
B 0.2500 0.7500 0.5000
Pt 0.6312 0.6312 0.7376

Values from the calculation:
The calculation puts the formation energy at -0.151 eV per atom.

=====

Entry 4:
This record from Alexandria describes a geometry-optimized Th2PaTe6 structure. The functional is PBE-GGA.

abc: 7.3759 7.3759 13.7890
angles: 90.00 90.00 90.00
Sites, in units of the cell vectors:
Te 0.2020 0.7980 0.5000
Th 0.5000 0.5000 0.8326
Th 0.0000 0.0000 0.6674
Te 0.8017 0.1983 0.1638
Te 0.3017 0.3017 0.6638
Te 0.6983 0.6983 0.3362
Te 0.3017 0.3017 0.3362
Te 0.6983 0.6983 0.6638
Pa 0.0000 0.0000 0.0000
Th 0.5000 0.5000 0.1674
Pa 0.5000 0.5000 0.5000
Te 0.8017 0.1983 0.8362
Te 0.1983 0.8017 0.1638
Te 0.2980 0.2980 0.0000
Te 0.7020 0.7020 0.0000
Th 0.0000 0.0000 0.3326
Te 0.7980 0.2020 0.5000
Te 0.1983 0.8017 0.8362

Values from the calculation:
As for the uncorrected formation energy: -0.916 eV per atom.

=====

Entry 5:
This record from Alexandria describes a geometry-optimized FeTe2IN structure. The functional is PBE-GGA.

abc: 4.7644 4.7644 4.7103
angles: 90.00 90.00 90.00
Sites, in units of the cell vectors:
N 0.0000 0.0000 0.0000
Te 0.0000 0.5000 0.0000
I 0.0000 0.0000 0.5000
Fe 0.5000 0.5000 0.5000
Te 0.5000 0.0000 0.0000

Values from the calculation:
As for the relative energy among the computed polymorphs: 1021.9 meV per atom. As for the uncorrected formation energy: 1.429 eV per atom.

=====

Entry 6:
This record from Alexandria describes a geometry-optimized KBeSi3 structure. The functional is PBE-GGA.

abc: 5.4242 5.4242 5.4242
angles: 90.00 90.00 90.00
Sites, in units of the cell vectors:
Si 0.5000 0.0000 0.0000
Si 0.0000 0.0000 0.5000
K 0.0000 0.0000 0.0000
Be 0.5000 0.5000 0.5000
Si 0.0000 0.5000 0.0000

Values from the calculation:
As for the relative energy among the computed polymorphs: 1864.9 meV per atom. As for the uncorrected formation energy: 2.545 eV per atom.

=====

Repeat the first record exactly.
This record from Alexandria describes a geometry-optimized Mg2B2O5 structure. The functional is PBE-GGA.

abc: 4.9707 3.1088 6.5349
angles: 90.72 113.01 92.21
Sites, in units of the cell vectors:
B 0.9895 0.1749 0.8020
Mg 0.5654 0.2635 0.3119
O 0.7221 0.2830 0.6452
O 0.7691 0.7677 0.2457
O 0.2873 0.7508 0.3379
O 0.2554 0.2415 0.7906
O 0.9476 0.9467 0.9747
B 0.0056 0.8171 0.1932
Mg 0.4581 0.7547 0.6988

Values from the calculation:
As for the relative energy among the computed polymorphs: 64.0 meV per atom. As for the uncorrected formation energy: -2.571 eV per atom.